# CaCrTc2 PBE relaxed
# * size of the total moment: 0.000 μB/atom
# * uncorrected energy: -7.60 eV per atom
# * distance to the lowest polymorph of the same formula: 270 meV/atom
# * formation energy from the elements: 1.97 eV per formula unit
data_CaCrTc2
_symmetry_space_group_name_H-M 'P 1 2/m 1'
_symmetry_Int_Tables_number 10
_cell_length_a 2.939
_cell_length_b 3.722
_cell_length_c 6.556
_cell_angle_alpha 90.00
_cell_angle_beta 101.21
_cell_angle_gamma 90.00
loop_
_symmetry_equiv_pos_as_xyz
'x,y,z'
'-x,-y,-z'
'-x,y,-z'
'x,-y,z'
loop_
_atom_site_label
_atom_site_fract_x
_atom_site_fract_y
_atom_site_fract_z
Ca1 0.000 0.000 0.000
Cr1 0.000 0.000 0.500
Tc1 0.384 0.500 0.681